The following is a DFT calculation (PBE) of crystalline Np2TiSi4Pt3 at its relaxed geometry.

The structure in POSCAR format:
```
Np2TiSi4Pt3
1.0
4.1618 0.0000 0.0000
0.0000 4.1618 0.0000
0.0000 0.0000 10.2162
Np Ti Si Pt
2 1 4 3
Direct
0.0000 0.5000 0.2472 Np
0.5000 0.0000 0.7528 Np
0.0000 0.0000 0.5000 Ti
0.0000 0.0000 0.0000 Si
0.0000 0.5000 0.6439 Si
0.5000 0.0000 0.3561 Si
0.5000 0.5000 0.0000 Si
0.0000 0.5000 0.8799 Pt
0.5000 0.0000 0.1201 Pt
0.5000 0.5000 0.5000 Pt
```

Total DFT energy (no corrections) = -8.07 eV per atom
Symmetry = P-4m2
E_form (uncorrected) = -0.715 eV per atom
Total moment = 0.77 μB per atom
Mass density = 11.44 Mg/m³

The following is a DFT calculation (PBE) of crystalline Nd2NpReN6 at its relaxed geometry.

The structure in POSCAR format:
```
Nd2NpReN6
1.0
5.7579 0.0000 0.0000
0.0000 5.7726 0.0000
-5.6559 0.0000 8.0981
Nd Np Re N
4 2 2 12
Direct
0.2374 0.0373 0.2482 Nd
0.2374 0.4627 0.7482 Nd
0.7626 0.5373 0.2518 Nd
0.7626 0.9627 0.7518 Nd
0.5000 0.0000 0.0000 Np
0.5000 0.5000 0.5000 Np
0.0000 0.0000 0.5000 Re
0.0000 0.5000 0.0000 Re
0.1654 0.2202 0.9541 N
0.1654 0.2798 0.4541 N
0.2240 0.7112 0.9532 N
0.2240 0.7888 0.4532 N
0.3270 0.0157 0.7422 N
0.3270 0.4843 0.2422 N
0.6730 0.5157 0.7578 N
0.6730 0.9843 0.2578 N
0.7760 0.2112 0.5468 N
0.7760 0.2888 0.0468 N
0.8346 0.7202 0.5459 N
0.8346 0.7798 0.0459 N
```

Total DFT energy (no corrections) = -9.36 eV per atom
Symmetry = P2_1/c
E_form (uncorrected) = -0.875 eV per atom
Total moment = 0.17 μB per atom
Mass density = 9.82 Mg/m³

The following is a DFT calculation (PBE) of crystalline Pu4Ir2Rh at its relaxed geometry.

The structure in POSCAR format:
```
Pu4Ir2Rh
1.0
-4.2490 4.2490 4.2565
4.2490 -4.2490 4.2565
4.2490 4.2490 -4.2565
Pu Ir Rh
8 4 2
Direct
0.1264 0.2348 0.7497 Pu
0.1268 0.7352 0.7503 Pu
0.2648 0.0152 0.3916 Pu
0.4852 0.3768 0.2503 Pu
0.6232 0.8736 0.1084 Pu
0.6236 0.8732 0.6084 Pu
0.7652 0.5148 0.8916 Pu
0.9848 0.3764 0.2497 Pu
0.2484 0.6250 0.1234 Ir
0.3750 0.4984 0.6234 Ir
0.5016 0.1250 0.8766 Ir
0.8750 0.7516 0.3766 Ir
0.0000 0.0000 0.0000 Rh
0.7500 0.2500 0.5000 Rh
```

Total DFT energy (no corrections) = -12.20 eV per atom
Symmetry = I-42d
ΔH_f (0 K) = -0.43 eV per atom
Total moment = 2.87 μB per atom
Mass density = 15.81 Mg/m³

The following is a DFT calculation (PBE) of crystalline DyY5Te4 at its relaxed geometry.

The structure in POSCAR format:
```
DyY5Te4
1.0
9.1510 0.0000 0.0000
0.0000 9.7723 0.0000
0.0000 0.0000 7.4471
Dy Y Te
2 10 8
Direct
0.2500 0.2500 0.1371 Dy
0.7500 0.7500 0.8629 Dy
0.0550 0.0569 0.7606 Y
0.0550 0.4431 0.7606 Y
0.2500 0.7500 0.7872 Y
0.4450 0.0569 0.7606 Y
0.4450 0.4431 0.7606 Y
0.5550 0.5569 0.2394 Y
0.5550 0.9431 0.2394 Y
0.7500 0.2500 0.2128 Y
0.9450 0.5569 0.2394 Y
0.9450 0.9431 0.2394 Y
0.0203 0.2500 0.4368 Te
0.2500 0.5473 0.0821 Te
0.2500 0.9527 0.0821 Te
0.4797 0.2500 0.4368 Te
0.5203 0.7500 0.5632 Te
0.7500 0.0473 0.9179 Te
0.7500 0.4527 0.9179 Te
0.9797 0.7500 0.5632 Te
```

Total DFT energy (no corrections) = -5.75 eV per atom
Symmetry = Pmmn
E_form (uncorrected) = -0.804 eV per atom
Total moment = 0.00 μB per atom
Mass density = 5.57 Mg/m³

The following is a DFT calculation (PBE) of crystalline KWBr2 at its relaxed geometry.

The structure in POSCAR format:
```
KWBr2
1.0
-1.9668 3.1850 5.3335
1.9668 -3.1850 5.3335
1.9668 3.1850 -5.3335
K W Br
1 1 2
Direct
0.0000 0.0000 0.0000 K
0.5000 0.5000 0.0000 W
0.3380 0.8380 0.5000 Br
0.6620 0.1620 0.5000 Br
```

Total DFT energy (no corrections) = -4.14 eV per atom
Symmetry = Immm
E_form (uncorrected) = 0.207 eV per atom
Total moment = 0.75 μB per atom
Excess energy over the best structure of this formula in the dataset = 21 meV/atom
Mass density = 4.76 Mg/m³

The following is a DFT calculation (PBE) of crystalline Tb2PaAs3 at its relaxed geometry.

The structure in POSCAR format:
```
Tb2PaAs3
1.0
-2.0629 2.9058 6.1717
2.0629 -2.9058 6.1717
2.0629 2.9058 -6.1717
Tb Pa As
2 1 3
Direct
0.1678 0.1678 0.0000 Tb
0.8322 0.8322 0.0000 Tb
0.5000 0.5000 0.0000 Pa
0.0000 0.5000 0.5000 As
0.3371 0.8371 0.5000 As
0.6629 0.1629 0.5000 As
```

Total DFT energy (no corrections) = -6.83 eV per atom
Symmetry = Immm
ΔH_f (0 K) = -1.38 eV per atom
Total moment = 0.00 μB per atom
Mass density = 8.68 Mg/m³

The following is a DFT calculation (PBE) of crystalline KNa3Zn4Cl12 at its relaxed geometry.

The structure in POSCAR format:
```
KNa3Zn4Cl12
1.0
7.0838 4.0898 3.5586
-7.0838 4.0898 3.5586
0.0000 -8.1797 3.5586
K Na Zn Cl
1 3 4 12
Direct
0.0000 0.0000 0.0000 K
0.0000 0.5523 0.4477 Na
0.4477 0.0000 0.5523 Na
0.5523 0.4477 0.0000 Na
0.0559 0.5000 0.9441 Zn
0.5000 0.5000 0.5000 Zn
0.5000 0.9441 0.0559 Zn
0.9441 0.0559 0.5000 Zn
0.0452 0.6556 0.7886 Cl
0.0998 0.9002 0.5000 Cl
0.2114 0.3444 0.9548 Cl
0.3444 0.9548 0.2114 Cl
0.3448 0.6552 0.5000 Cl
0.5000 0.0998 0.9002 Cl
0.5000 0.3448 0.6552 Cl
0.6552 0.5000 0.3448 Cl
0.6556 0.7886 0.0452 Cl
0.7886 0.0452 0.6556 Cl
0.9002 0.5000 0.0998 Cl
0.9548 0.2114 0.3444 Cl
```

Total DFT energy (no corrections) = -3.00 eV per atom
Symmetry = R32
E_form (uncorrected) = -1.382 eV per atom
Total moment = 0.00 μB per atom
Mass density = 2.13 Mg/m³

The following is a DFT calculation (PBE) of crystalline CsTeRuN2 at its relaxed geometry.

The structure in POSCAR format:
```
CsTeRuN2
1.0
4.2112 0.0000 0.0000
0.0000 4.2112 0.0000
0.0000 0.0000 5.4936
Cs Te Ru N
1 1 1 2
Direct
0.0000 0.0000 0.0000 Cs
0.5000 0.5000 0.0000 Te
0.5000 0.5000 0.5000 Ru
0.0000 0.5000 0.5000 N
0.5000 0.0000 0.5000 N
```

Total DFT energy (no corrections) = -4.79 eV per atom
Symmetry = P4/mmm
E_form (uncorrected) = 1.190 eV per atom
Total moment = 0.08 μB per atom
Excess energy over the best structure of this formula in the dataset = 0 meV/atom
Mass density = 6.64 Mg/m³